Compound: SrGeN2F
Source: the Alexandria database
Functional: PBE
Structure: relaxed Values from VASP.

```
&SYSTEM
  ibrav = 0, nat = 5, ntyp = 4
/
ATOMIC_SPECIES
Sr 87.62 Sr.upf
Ge 72.64 Ge.upf
N 14.01 N.upf
F 19.00 F.upf
CELL_PARAMETERS angstrom
4.919 0.000 0.000
0.000 4.919 0.000
0.000 0.000 4.464
ATOMIC_POSITIONS angstrom
Sr 0.000 0.000 0.000
Ge 2.460 2.460 2.232
N 0.000 2.460 0.000
N 2.460 0.000 0.000
F 0.000 0.000 2.232
```

**Density**: 3.187 Mg/m³
**Total magnetization**: 3.00 μB/f.u.
**Energy relative to the elements, uncorrected**: 680 meV per atom
**Density of states at the Fermi level**: 3.80 states/eV per cell